1.
Cs2RbBaHg: optimized geometry, PBE.

Computed properties:
As for the space group: No. 123. Its formation energy from the elements is -0.052 eV/atom. The crystal system is tetragonal.

Structure (POSCAR):
```
Cs2RbBaHg
1.0
7.495 0.000 0.000
0.000 7.495 0.000
0.000 0.000 6.922
Cs Rb Ba Hg
2 1 1 1
Cartesian
0.000 3.748 0.000 Cs
3.748 0.000 0.000 Cs
0.000 0.000 3.461 Rb
3.748 3.748 3.461 Ba
3.748 3.748 0.000 Hg
```

=====

2.
CsBa2HgRh: optimized geometry, PBE.

Computed properties:
As for the space group: No. 123. Its formation energy from the elements is -0.092 eV/atom. The crystal system is tetragonal.

Structure (POSCAR):
```
CsBa2HgRh
1.0
6.030 0.000 0.000
0.000 6.030 0.000
0.000 0.000 5.706
Cs Ba Hg Rh
1 2 1 1
Cartesian
0.000 0.000 0.000 Cs
0.000 3.015 2.853 Ba
3.015 0.000 2.853 Ba
3.015 3.015 0.000 Hg
3.015 3.015 2.853 Rh
```

=====

3.
Cs2BaHg2S4: optimized geometry, PBE.

Computed properties:
As for the space group: No. 12. The crystal system is monoclinic. For the formation energy from raw total energies, the calculation gives -0.96 eV/atom.

Structure (POSCAR):
```
Cs2BaHg2S4
1.0
8.544 -2.227 0.000
8.544 2.227 0.000
-2.953 0.000 7.921
Cs Ba Hg S
2 1 2 4
Cartesian
2.026 0.000 0.436 Cs
12.108 0.000 7.484 Cs
-1.476 0.000 3.960 Ba
4.145 0.000 4.177 Hg
9.989 0.000 3.744 Hg
1.598 0.000 5.249 S
5.955 0.000 5.909 S
8.180 0.000 2.012 S
12.537 0.000 2.672 S
```